No. 1
This record from the Alexandria database describes a relaxed structure of Ba5Tc. The functional is PBE.

The space group is Cm (No. 8) and the conventional cell measures 14.8404, 4.2990 and 9.9463 Å, with angles of 90.00, 100.94 and 90.00 degrees. The inequivalent atoms are Ba at (0.0000, 0.0000, 0.0000), Ba at (0.0870, 0.5000, 0.4437), Ba at (0.2032, 0.0000, 0.7952), Ba at (0.2927, 0.0000, 0.2303), Ba at (0.4018, 0.5000, 0.6098) and Tc at (0.0402, 0.5000, 0.7609).

The energy above the most stable polymorph in this dataset comes out at 0.00 eV/f.u. Its density of states at the Fermi level is 1.57 states/eV/atom. As for the electronic total energy: -2.892 eV per atom. For the formation enthalpy at 0 K, the calculation gives 437 meV per atom. Its size of the total moment is 0.217 μB/atom.


No. 2
This record from the Alexandria database describes a relaxed structure of BaTc3. The functional is PBE.

The space group is P-6m2 (No. 187) and the conventional cell measures 3.0500, 3.0500 and 9.5648 Å, with angles of 90.00, 90.00 and 120.00 degrees. The inequivalent atoms are Ba at (0.0000, 0.0000, 0.0000), Tc at (0.0000, 0.0000, 0.5000) and Tc at (0.6667, 0.3333, 0.3004).

The energy above the most stable polymorph in this dataset comes out at 1.37 eV/f.u. Its density of states at the Fermi level is 1.34 states/eV/atom. As for the electronic total energy: -7.320 eV per atom. For the formation enthalpy at 0 K, the calculation gives 935 meV per atom. Its size of the total moment is 0.000 μB/atom.


No. 3
This record from the Alexandria database describes a relaxed structure of Ba3Tc. The functional is PBE.

The space group is Pm-3n (No. 223) and the conventional cell measures 6.8284, 6.8284 and 6.8284 Å, with angles of 90.00, 90.00 and 90.00 degrees. The inequivalent atoms are Ba at (0.0000, 0.2500, 0.5000) and Tc at (0.0000, 0.0000, 0.0000).

The energy above the most stable polymorph in this dataset comes out at 2.25 eV/f.u. Its density of states at the Fermi level is 1.78 states/eV/atom. As for the electronic total energy: -3.121 eV per atom. For the formation enthalpy at 0 K, the calculation gives 913 meV per atom. Its size of the total moment is 0.344 μB/atom.


No. 4
This record from the Alexandria database describes a relaxed structure of Ba2Tc. The functional is PBE.

The space group is P-3m1 (No. 164) and the conventional cell measures 5.4003, 5.4003 and 3.9230 Å, with angles of 90.00, 90.00 and 120.00 degrees. The inequivalent atoms are Ba at (0.3333, 0.6667, 0.2332) and Tc at (0.0000, 0.0000, 0.5000).

The energy above the most stable polymorph in this dataset comes out at 2.02 eV/f.u. Its density of states at the Fermi level is 1.51 states/eV/atom. As for the electronic total energy: -3.728 eV per atom. For the formation enthalpy at 0 K, the calculation gives 1009 meV per atom. Its size of the total moment is 0.341 μB/atom.


No. 5
This record from the Alexandria database describes a relaxed structure of Ba3Tc. The functional is PBE.

The space group is Cmcm (No. 63) and the conventional cell measures 12.5306, 15.4719 and 4.4283 Å, with angles of 90.00, 90.00 and 90.00 degrees. The inequivalent atoms are Ba at (0.0000, 0.1218, 0.2500), Ba at (0.1773, 0.3768, 0.2500) and Tc at (0.0000, 0.4782, 0.7500).

The energy above the most stable polymorph in this dataset comes out at 0.00 eV/f.u. Its density of states at the Fermi level is 1.53 states/eV/atom. As for the electronic total energy: -3.684 eV per atom. For the formation enthalpy at 0 K, the calculation gives 349 meV per atom. Its size of the total moment is 0.000 μB/atom.


No. 6
This record from the Alexandria database describes a relaxed structure of BaTc3. The functional is PBE.

The space group is R-3m (No. 166, hexagonal axes) and the conventional cell measures 2.9583, 2.9583 and 30.1200 Å, with angles of 90.00, 90.00 and 120.00 degrees. The inequivalent atoms are Ba at (0.0000, 0.0000, 0.0000), Tc at (0.0000, 0.0000, 0.2343) and Tc at (0.0000, 0.0000, 0.5000).

The energy above the most stable polymorph in this dataset comes out at 1.45 eV/f.u. Its density of states at the Fermi level is 1.15 states/eV/atom. As for the electronic total energy: -7.302 eV per atom. For the formation enthalpy at 0 K, the calculation gives 954 meV per atom. Its size of the total moment is 0.000 μB/atom.


No. 7
This record from the Alexandria database describes a relaxed structure of Ba2Tc. The functional is PBE.

The space group is Fm-3m (No. 225) and the conventional cell measures 7.7492, 7.7492 and 7.7492 Å, with angles of 90.00, 90.00 and 90.00 degrees. The inequivalent atoms are Ba at (0.2500, 0.2500, 0.2500) and Tc at (0.0000, 0.0000, 0.0000).

The energy above the most stable polymorph in this dataset comes out at 1.88 eV/f.u. Its density of states at the Fermi level is 2.06 states/eV/atom. As for the electronic total energy: -3.774 eV per atom. For the formation enthalpy at 0 K, the calculation gives 963 meV per atom. Its size of the total moment is 0.423 μB/atom.


No. 8
This record from the Alexandria database describes a relaxed structure of BaTc3. The functional is PBE.

The space group is P4/mmm (No. 123) and the conventional cell measures 4.8770, 4.8770 and 3.1329 Å, with angles of 90.00, 90.00 and 90.00 degrees. The inequivalent atoms are Ba at (0.0000, 0.0000, 0.0000), Tc at (0.0000, 0.5000, 0.5000) and Tc at (0.5000, 0.5000, 0.0000).

The energy above the most stable polymorph in this dataset comes out at 3.18 eV/f.u. Its density of states at the Fermi level is 1.71 states/eV/atom. As for the electronic total energy: -6.869 eV per atom. For the formation enthalpy at 0 K, the calculation gives 1386 meV per atom. Its size of the total moment is 0.002 μB/atom.